Material: CdRe2Ag
Method: DFT, PBE
State: optimized geometry

## Properties
- Space group: No. 47
- Energy relative to the elements: 3.20 eV/f.u.
- Crystal system: orthorhombic
- VASP energy: -6.366 eV/atom
- M_tot: 0.00 μB per cell

Structure (POSCAR):
```
CdRe2Ag
1.0
-0.630 0.125 2.627
3.934 -2.285 1.053
2.590 4.644 0.401
Re Ag Cd
2 1 1
Cartesian
2.563 4.595 0.397
1.322 2.371 0.205
2.300 0.081 1.940
3.595 2.403 2.141
```